[1]
This record from the Alexandria database describes crystalline PrTmCu2Se4 at its relaxed geometry. The functional is PBE-GGA.

DOS at the Fermi energy	0.69	states/eV/f.u.
ρ	6.51	g/cm³
uncorrected formation energy	-8.42	eV/f.u.
spin magnetization	0.000	Bohr magnetons per cell

```
data_PrTmCu2Se4
_chemical_formula_sum 'Pr2 Tm2 Cu4 Se8'
_symmetry_space_group_name_H-M 'I 2 2 2'
_symmetry_Int_Tables_number 23
_symmetry_space_group_name_Hall 'I 2 2'
_cell_length_a 6.786
_cell_length_b 7.038
_cell_length_c 8.038
_cell_angle_alpha 90.00
_cell_angle_beta 90.00
_cell_angle_gamma 90.00
loop_
_atom_site_label
_atom_site_fract_x
_atom_site_fract_y
_atom_site_fract_z
Pr1 0.000 0.000 0.000
Tm1 0.000 0.000 0.500
Cu1 0.000 0.500 0.156
Se1 0.241 0.220 0.308
```

[2]
This record from the Alexandria database describes crystalline Ac3Ho2Tl6 at its relaxed geometry. The functional is PBE-GGA.

DOS at the Fermi energy	9.30	states/eV/f.u.
ρ	9.94	g/cm³
calculated formation energy	-0.180	eV/atom
spin magnetization	0.000	Bohr magnetons per cell

```
data_Ac3Ho2Tl6
_chemical_formula_sum 'Ac6 Ho4 Tl12'
_symmetry_space_group_name_H-M 'I 4/m m m'
_symmetry_Int_Tables_number 139
_symmetry_space_group_name_Hall '-I 4 2'
_cell_length_a 5.071
_cell_length_b 5.071
_cell_length_c 29.050
_cell_angle_alpha 90.00
_cell_angle_beta 90.00
_cell_angle_gamma 90.00
loop_
_atom_site_label
_atom_site_fract_x
_atom_site_fract_y
_atom_site_fract_z
Ac1 0.000 0.000 0.000
Ac2 0.000 0.000 0.197
Ho1 0.000 0.000 0.444
Tl1 0.000 0.000 0.313
Tl2 0.000 0.500 0.113
```

[3]
This record from the Alexandria database describes crystalline KSc2Ir at its relaxed geometry. The functional is PBE-GGA.

DOS at the Fermi energy	5.60	states/eV/f.u.
distance to the lowest polymorph of the same formula	157	kJ/mol of formula units
ρ	6.37	g/cm³
calculated formation energy	0.137	eV/atom
spin magnetization	0.000	Bohr magnetons per cell

```
data_KSc2Ir
_chemical_formula_sum 'K4 Sc8 Ir4'
_symmetry_space_group_name_H-M 'F m -3 m'
_symmetry_Int_Tables_number 225
_symmetry_space_group_name_Hall '-F 4 2 3'
_cell_length_a 6.946
_cell_length_b 6.946
_cell_length_c 6.946
_cell_angle_alpha 90.00
_cell_angle_beta 90.00
_cell_angle_gamma 90.00
loop_
_atom_site_label
_atom_site_fract_x
_atom_site_fract_y
_atom_site_fract_z
K1 0.000 0.000 0.000
Sc1 0.250 0.250 0.250
Ir1 0.000 0.000 0.500
```

[4]
This record from the Alexandria database describes crystalline CuBi3Ir at its relaxed geometry. The functional is PBE-GGA.

DOS at the Fermi energy	4.78	states/eV/f.u.
distance to the lowest polymorph of the same formula	0	kJ/mol of formula units
ρ	9.54	g/cm³
calculated formation energy	0.771	eV/atom
spin magnetization	0.000	Bohr magnetons per cell

```
data_CuBi3Ir
_chemical_formula_sum 'Cu1 Bi3 Ir1'
_symmetry_space_group_name_H-M 'P m -3 m'
_symmetry_Int_Tables_number 221
_symmetry_space_group_name_Hall '-P 4 2 3'
_cell_length_a 5.357
_cell_length_b 5.357
_cell_length_c 5.357
_cell_angle_alpha 90.00
_cell_angle_beta 90.00
_cell_angle_gamma 90.00
loop_
_atom_site_label
_atom_site_fract_x
_atom_site_fract_y
_atom_site_fract_z
Cu1 0.000 0.000 0.000
Bi1 0.000 0.500 0.500
Ir1 0.500 0.500 0.500
```

[5]
This record from the Alexandria database describes crystalline GeSb2PbI at its relaxed geometry. The functional is PBE-GGA.

DOS at the Fermi energy	6.06	states/eV/f.u.
distance to the lowest polymorph of the same formula	246	kJ/mol of formula units
ρ	5.24	g/cm³
uncorrected formation energy	4.62	eV/f.u.
spin magnetization	0.749	Bohr magnetons per cell

```
data_GeSb2PbI
_chemical_formula_sum 'Ge1 Sb2 Pb1 I1'
_symmetry_space_group_name_H-M 'P 4/m m m'
_symmetry_Int_Tables_number 123
_symmetry_space_group_name_Hall '-P 4 2'
_cell_length_a 5.857
_cell_length_b 5.857
_cell_length_c 6.009
_cell_angle_alpha 90.00
_cell_angle_beta 90.00
_cell_angle_gamma 90.00
loop_
_atom_site_label
_atom_site_fract_x
_atom_site_fract_y
_atom_site_fract_z
Ge1 0.000 0.000 0.000
Sb1 0.000 0.500 0.500
Pb1 0.500 0.500 0.500
I1 0.500 0.500 0.000
```

[6]
This record from the Alexandria database describes crystalline Ag2MoOs at its relaxed geometry. The functional is PBE-GGA.

DOS at the Fermi energy	3.00	states/eV/f.u.
distance to the lowest polymorph of the same formula	56	kJ/mol of formula units
ρ	12.57	g/cm³
calculated formation energy	0.389	eV/atom
spin magnetization	0.002	Bohr magnetons per cell

```
data_Ag2MoOs
_chemical_formula_sum 'Ag4 Mo2 Os2'
_symmetry_space_group_name_H-M 'C m m 2'
_symmetry_Int_Tables_number 35
_symmetry_space_group_name_Hall 'C 2 -2'
_cell_length_a 2.942
_cell_length_b 4.633
_cell_length_c 9.726
_cell_angle_alpha 90.00
_cell_angle_beta 90.00
_cell_angle_gamma 90.00
loop_
_atom_site_label
_atom_site_fract_x
_atom_site_fract_y
_atom_site_fract_z
Ag1 0.000 0.000 0.000
Ag2 0.000 0.500 0.258
Mo1 0.000 0.500 0.738
Os1 0.000 0.000 0.518
```

[7]
This record from the Alexandria database describes crystalline Er3Cu4Si4 at its relaxed geometry. The functional is PBE-GGA.

DOS at the Fermi energy	2.41	states/eV/f.u.
ρ	7.91	g/cm³
uncorrected formation energy	-7.08	eV/f.u.
spin magnetization	0.000	Bohr magnetons per cell

```
data_Er3Cu4Si4
_chemical_formula_sum 'Er6 Cu8 Si8'
_symmetry_space_group_name_H-M 'I m m m'
_symmetry_Int_Tables_number 71
_symmetry_space_group_name_Hall '-I 2 2'
_cell_length_a 4.111
_cell_length_b 6.518
_cell_length_c 13.612
_cell_angle_alpha 90.00
_cell_angle_beta 90.00
_cell_angle_gamma 90.00
loop_
_atom_site_label
_atom_site_fract_x
_atom_site_fract_y
_atom_site_fract_z
Er1 0.000 0.000 0.000
Er2 0.000 0.500 0.129
Cu1 0.000 0.309 0.331
Si1 0.000 0.000 0.217
Si2 0.000 0.185 0.500
```

[8]
This record from the Alexandria database describes crystalline PuVSn2 at its relaxed geometry. The functional is PBE-GGA.

DOS at the Fermi energy	7.98	states/eV/f.u.
ρ	9.92	g/cm³
calculated formation energy	-0.076	eV/atom
spin magnetization	8.363	Bohr magnetons per cell

```
data_PuVSn2
_chemical_formula_sum 'Pu1 V1 Sn2'
_symmetry_space_group_name_H-M 'P 4/m m m'
_symmetry_Int_Tables_number 123
_symmetry_space_group_name_Hall '-P 4 2'
_cell_length_a 3.310
_cell_length_b 3.310
_cell_length_c 8.135
_cell_angle_alpha 90.00
_cell_angle_beta 90.00
_cell_angle_gamma 90.00
loop_
_atom_site_label
_atom_site_fract_x
_atom_site_fract_y
_atom_site_fract_z
Pu1 0.000 0.000 0.000
V1 0.000 0.000 0.500
Sn1 0.500 0.500 0.286
```

[9]
This record from the Alexandria database describes crystalline SrScBe2 at its relaxed geometry. The functional is PBE-GGA.

DOS at the Fermi energy	4.65	states/eV/f.u.
distance to the lowest polymorph of the same formula	0	kJ/mol of formula units
ρ	2.71	g/cm³
calculated formation energy	0.200	eV/atom
spin magnetization	0.031	Bohr magnetons per cell

```
data_SrScBe2
_chemical_formula_sum 'Sr2 Sc2 Be4'
_symmetry_space_group_name_H-M 'C 1 m 1'
_symmetry_Int_Tables_number 8
_symmetry_space_group_name_Hall 'C -2y'
_cell_length_a 6.963
_cell_length_b 4.018
_cell_length_c 6.987
_cell_angle_alpha 90.00
_cell_angle_beta 109.26
_cell_angle_gamma 90.00
loop_
_atom_site_label
_atom_site_fract_x
_atom_site_fract_y
_atom_site_fract_z
Sr1 0.000 0.000 0.000
Sc1 0.326 0.500 0.477
Be1 0.055 0.500 0.662
Be2 0.221 0.000 0.662
```

[10]
This record from the Alexandria database describes crystalline Sm4Y3Mg at its relaxed geometry. The functional is PBE-GGA.

DOS at the Fermi energy	10.67	states/eV/f.u.
distance to the lowest polymorph of the same formula	148	kJ/mol of formula units
ρ	5.67	g/cm³
calculated formation energy	0.205	eV/atom
spin magnetization	0.000	Bohr magnetons per cell

```
data_Sm4Y3Mg
_chemical_formula_sum 'Sm8 Y6 Mg2'
_symmetry_space_group_name_H-M 'C 1 2/m 1'
_symmetry_Int_Tables_number 12
_symmetry_space_group_name_Hall '-C 2y'
_cell_length_a 25.823
_cell_length_b 3.431
_cell_length_c 5.933
_cell_angle_alpha 90.00
_cell_angle_beta 95.88
_cell_angle_gamma 90.00
loop_
_atom_site_label
_atom_site_fract_x
_atom_site_fract_y
_atom_site_fract_z
Sm1 0.102 0.000 0.195
Sm2 0.218 0.500 0.238
Y1 0.000 0.000 0.500
Y2 0.148 0.000 0.714
Mg1 0.000 0.500 0.000
```

[11]
This record from the Alexandria database describes crystalline PuSn2Pd4 at its relaxed geometry. The functional is PBE-GGA.

DOS at the Fermi energy	16.97	states/eV/f.u.
distance to the lowest polymorph of the same formula	24	kJ/mol of formula units
ρ	10.86	g/cm³
calculated formation energy	-0.453	eV/atom
spin magnetization	5.539	Bohr magnetons per cell

```
data_PuSn2Pd4
_chemical_formula_sum 'Pu1 Sn2 Pd4'
_symmetry_space_group_name_H-M 'P -1'
_symmetry_Int_Tables_number 2
_symmetry_space_group_name_Hall '-P 1'
_cell_length_a 4.158
_cell_length_b 4.955
_cell_length_c 7.486
_cell_angle_alpha 97.18
_cell_angle_beta 90.07
_cell_angle_gamma 114.79
loop_
_atom_site_label
_atom_site_fract_x
_atom_site_fract_y
_atom_site_fract_z
Pu1 0.000 0.000 0.000
Sn1 0.276 0.551 0.769
Pd1 0.132 0.264 0.423
Pd2 0.426 0.853 0.307
```

[12]
This record from the Alexandria database describes crystalline DyPaMo at its relaxed geometry. The functional is PBE-GGA.

DOS at the Fermi energy	3.82	states/eV/f.u.
distance to the lowest polymorph of the same formula	0	kJ/mol of formula units
ρ	11.81	g/cm³
calculated formation energy	0.100	eV/atom
spin magnetization	0.000	Bohr magnetons per cell

```
data_DyPaMo
_chemical_formula_sum 'Dy2 Pa2 Mo2'
_symmetry_space_group_name_H-M 'I 4 m m'
_symmetry_Int_Tables_number 107
_symmetry_space_group_name_Hall 'I 4 -2'
_cell_length_a 3.486
_cell_length_b 3.486
_cell_length_c 11.324
_cell_angle_alpha 90.00
_cell_angle_beta 90.00
_cell_angle_gamma 90.00
loop_
_atom_site_label
_atom_site_fract_x
_atom_site_fract_y
_atom_site_fract_z
Dy1 0.000 0.000 0.000
Pa1 0.000 0.000 0.303
Mo1 0.000 0.000 0.684
```